## i
TmPdRh: optimized geometry, GGA-PBE.

**Size of the total moment**: 0.000 μB/f.u.
**Mass density**: 10.69 g cm⁻³

POSCAR file:
```
TmPdRh
1.0
-1.675 1.675 10.468
1.675 -1.675 10.468
1.675 1.675 -10.468
Tm Pd Rh
2 2 2
Direct
0.137 0.137 0.000 Tm
0.863 0.863 0.000 Tm
0.437 0.437 0.000 Pd
0.563 0.563 0.000 Pd
0.290 0.290 0.000 Rh
0.710 0.710 0.000 Rh
```



## ii
TmPdRh: optimized geometry, GGA-PBE.

**Size of the total moment**: 0.000 μB/f.u.
**Mass density**: 10.83 g cm⁻³

POSCAR file:
```
TmPdRh
1.0
4.368 0.000 0.000
-2.184 3.783 0.000
0.000 0.000 3.508
Tm Pd Rh
1 1 1
Direct
0.000 0.000 0.000 Tm
0.333 0.667 0.500 Pd
0.667 0.333 0.500 Rh
```



## iii
TmPdRh: optimized geometry, GGA-PBE.

**Size of the total moment**: 0.000 μB/f.u.
**Mass density**: 11.57 g cm⁻³

POSCAR file:
```
TmPdRh
1.0
-1.711 1.711 4.638
1.711 -1.711 4.638
1.711 1.711 -4.638
Tm Pd Rh
1 1 1
Direct
0.000 0.000 0.000 Tm
0.671 0.671 0.000 Pd
0.341 0.341 0.000 Rh
```



## iv
TmPdRh: optimized geometry, GGA-PBE.

**Size of the total moment**: 0.000 μB/f.u.
**Mass density**: 10.75 g cm⁻³

POSCAR file:
```
TmPdRh
1.0
3.202 0.000 0.000
0.000 4.587 0.000
0.000 0.000 7.953
Tm Pd Rh
2 2 2
Direct
0.250 0.250 0.241 Tm
0.750 0.750 0.759 Tm
0.250 0.750 0.461 Pd
0.750 0.250 0.539 Pd
0.250 0.750 0.032 Rh
0.750 0.250 0.968 Rh
```



Verdict on stability: ii comes out on top.



## i
Tm4PdRh: optimized geometry, GGA-PBE.

**Size of the total moment**: 0.000 μB/f.u.
**Mass density**: 8.55 g cm⁻³

POSCAR file:
```
Tm4PdRh
1.0
-4.611 4.611 4.040
4.611 -4.611 4.040
4.611 4.611 -4.040
Tm Pd Rh
8 2 2
Direct
0.187 0.488 0.700 Tm
0.238 0.038 0.800 Tm
0.238 0.437 0.200 Tm
0.296 0.000 0.296 Tm
0.704 0.000 0.704 Tm
0.750 0.546 0.796 Tm
0.750 0.954 0.204 Tm
0.788 0.488 0.300 Tm
0.245 0.745 0.500 Pd
0.495 0.495 0.000 Pd
0.743 0.243 0.500 Rh
0.993 0.993 0.000 Rh
```



## ii
Tm4PdRh: optimized geometry, GGA-PBE.

**Size of the total moment**: 0.000 μB/f.u.
**Mass density**: 10.44 g cm⁻³

POSCAR file:
```
Tm4PdRh
1.0
0.000 6.555 6.555
6.555 0.000 6.555
6.555 6.555 0.000
Tm Pd Rh
16 4 4
Direct
0.186 0.186 0.814 Tm
0.186 0.814 0.186 Tm
0.186 0.814 0.814 Tm
0.389 0.389 0.389 Tm
0.389 0.389 0.833 Tm
0.389 0.833 0.389 Tm
0.561 0.561 0.939 Tm
0.561 0.939 0.561 Tm
0.561 0.939 0.939 Tm
0.814 0.186 0.186 Tm
0.814 0.186 0.814 Tm
0.814 0.814 0.186 Tm
0.833 0.389 0.389 Tm
0.939 0.561 0.561 Tm
0.939 0.561 0.939 Tm
0.939 0.939 0.561 Tm
0.162 0.162 0.162 Pd
0.162 0.162 0.514 Pd
0.162 0.514 0.162 Pd
0.514 0.162 0.162 Pd
0.189 0.604 0.604 Rh
0.604 0.189 0.604 Rh
0.604 0.604 0.189 Rh
0.604 0.604 0.604 Rh
```



Verdict on stability: ii comes out on top.



## i
Tm6Pd2Rh: optimized geometry, GGA-PBE.

**Size of the total moment**: 0.000 μB/f.u.
**Mass density**: 9.63 g cm⁻³

POSCAR file:
```
Tm6Pd2Rh
1.0
6.428 0.000 0.000
0.000 7.285 0.000
-6.398 0.000 9.788
Tm Pd Rh
12 4 2
Direct
0.088 0.184 0.432 Tm
0.088 0.316 0.932 Tm
0.262 0.674 0.434 Tm
0.262 0.826 0.934 Tm
0.396 0.039 0.245 Tm
0.396 0.461 0.745 Tm
0.604 0.539 0.255 Tm
0.604 0.961 0.755 Tm
0.738 0.174 0.066 Tm
0.738 0.326 0.566 Tm
0.912 0.684 0.068 Tm
0.912 0.816 0.568 Tm
0.186 0.116 0.745 Pd
0.186 0.384 0.245 Pd
0.814 0.616 0.755 Pd
0.814 0.884 0.255 Pd
0.500 0.000 0.500 Rh
0.500 0.500 0.000 Rh
```



## ii
Tm6Pd2Rh: optimized geometry, GGA-PBE.

**Size of the total moment**: 0.000 μB/f.u.
**Mass density**: 10.30 g cm⁻³

POSCAR file:
```
Tm6Pd2Rh
1.0
-4.657 4.775 4.818
4.657 -4.775 4.818
4.657 4.775 -4.818
Tm Pd Rh
12 4 2
Direct
0.037 0.207 0.830 Tm
0.259 0.585 0.326 Tm
0.259 0.933 0.674 Tm
0.260 0.313 0.573 Tm
0.260 0.687 0.947 Tm
0.377 0.207 0.170 Tm
0.623 0.793 0.830 Tm
0.740 0.313 0.053 Tm
0.740 0.687 0.427 Tm
0.741 0.067 0.326 Tm
0.741 0.415 0.674 Tm
0.963 0.793 0.170 Tm
0.000 0.158 0.158 Pd
0.000 0.842 0.842 Pd
0.364 0.000 0.364 Pd
0.636 0.000 0.636 Pd
0.000 0.500 0.500 Rh
0.500 0.500 0.000 Rh
```



Verdict on stability: ii comes out on top.



## i
Tm8PdRh2: optimized geometry, GGA-PBE.

**Size of the total moment**: 0.007 μB/f.u.
**Mass density**: 10.21 g cm⁻³

POSCAR file:
```
Tm8PdRh2
1.0
8.554 -2.455 0.000
8.554 2.455 0.000
-1.920 0.000 6.444
Tm Pd Rh
8 1 2
Direct
0.033 0.033 0.282 Tm
0.203 0.203 0.818 Tm
0.330 0.330 0.529 Tm
0.405 0.405 0.040 Tm
0.595 0.595 0.960 Tm
0.670 0.670 0.471 Tm
0.797 0.797 0.182 Tm
0.967 0.967 0.718 Tm
0.500 0.500 0.500 Pd
0.188 0.188 0.213 Rh
0.812 0.812 0.787 Rh
```



## ii
Tm8PdRh2: optimized geometry, GGA-PBE.

**Size of the total moment**: 0.000 μB/f.u.
**Mass density**: 9.74 g cm⁻³

POSCAR file:
```
Tm8PdRh2
1.0
4.140 -6.250 0.000
4.140 6.250 0.000
-1.766 0.000 5.478
Tm Pd Rh
8 1 2
Direct
0.000 0.000 0.000 Tm
0.028 0.287 0.588 Tm
0.144 0.588 0.180 Tm
0.287 0.028 0.588 Tm
0.443 0.701 0.780 Tm
0.588 0.144 0.180 Tm
0.701 0.443 0.780 Tm
0.734 0.734 0.363 Tm
0.366 0.366 0.047 Pd
0.055 0.674 0.680 Rh
0.674 0.055 0.680 Rh
```



Verdict on stability: i comes out on top.